(1)
! PBE RbPuGeSe3, optimized geometry; values from VASP
! space group = P2_1/m (11)
&SYSTEM
  ibrav = 0, nat = 12, ntyp = 4
/
ATOMIC_SPECIES
Se 78.96 Se.upf
Ge 72.64 Ge.upf
Rb 85.47 Rb.upf
Pu 244.00 Pu.upf
CELL_PARAMETERS angstrom
-3.202 1.949 -1.779
0.321 -5.716 -6.838
-6.903 -4.099 7.933
ATOMIC_POSITIONS crystal
Se 0.750 0.409 0.108
Ge 0.250 0.130 0.563
Rb 0.250 0.238 0.279
Se 0.750 0.891 0.222
Pu 0.250 0.644 0.157
Rb 0.750 0.762 0.721
Se 0.250 0.677 0.422
Se 0.250 0.591 0.892
Ge 0.750 0.870 0.437
Se 0.750 0.323 0.578
Pu 0.750 0.356 0.843
Se 0.250 0.109 0.778

(2)
! PBE Rb4Pu3GeSe8, optimized geometry; values from VASP
! space group = R-3m (166)
&SYSTEM
  ibrav = 0, nat = 16, ntyp = 4
/
ATOMIC_SPECIES
Se 78.96 Se.upf
Rb 85.47 Rb.upf
Pu 244.00 Pu.upf
Ge 72.64 Ge.upf
CELL_PARAMETERS angstrom
-0.295 -8.560 0.732
6.067 -0.811 -7.038
2.353 4.810 6.725
ATOMIC_POSITIONS crystal
Se 0.231 0.690 0.959
Rb 0.000 0.000 0.500
Rb 0.500 0.000 0.500
Rb 0.000 0.000 0.000
Se 0.769 0.310 0.041
Pu 0.500 0.500 0.000
Se 0.728 0.690 0.959
Se 0.231 0.690 0.461
Se 0.268 0.305 0.537
Rb 0.500 0.000 0.000
Ge 0.000 0.500 0.000
Pu 0.000 0.500 0.500
Se 0.732 0.695 0.463
Se 0.769 0.310 0.539
Se 0.272 0.310 0.041
Pu 0.500 0.500 0.500

no.,E_tot (eV for the cell shown)
1,-73.3
2,-99.2